(1)
! BaLi4Np3O12 | Alexandria via LeMat-Bulk | GGA-PBE | optimized geometry; values from VASP
! Theoretical density: 5.9 Mg/m³
! E_form (uncorrected): -249.7 kJ per mole of atoms
! Magnetic moment: 3.000 μB/cell
! E_tot: -7.9830 eV per atom
! DOS(E_F): 0.6 states/eV/f.u.
&SYSTEM
  ibrav = 0, nat = 20, ntyp = 4
/
ATOMIC_SPECIES
O 16.00 O.upf
Li 6.94 Li.upf
Np 237.00 Np.upf
Ba 137.33 Ba.upf
ATOMIC_POSITIONS angstrom
O 5.687 -0.559 1.987
O 1.508 -4.165 0.686
O -2.023 -4.183 3.450
Li -2.286 -5.553 2.174
O 3.384 -4.365 -1.728
O -0.982 -5.941 0.861
O 0.666 -2.715 3.504
O 3.493 -1.933 2.038
Np 3.679 0.192 2.225
Ba 0.000 0.000 0.000
O 4.004 0.204 4.174
Np 1.528 -3.765 -1.417
O 1.385 -0.889 5.856
Li 1.889 -2.938 2.076
O 0.987 -5.844 -1.215
O 5.565 -2.451 -0.158
Li 2.881 0.257 5.694
O -1.007 -2.411 5.457
Np -1.428 -2.301 3.344
Li 5.072 -3.517 -1.640
CELL_PARAMETERS angstrom
-2.706 -6.417 -1.318
6.907 -0.396 -1.544
-0.423 0.938 7.013


(2)
! Ba3Li2NpO9 | Alexandria via LeMat-Bulk | GGA-PBE | optimized geometry; values from VASP
! Theoretical density: 6.0 Mg/m³
! E_form (uncorrected): -213.4 kJ per mole of atoms
! Magnetic moment: 3.050 μB/cell
! E_tot: -6.6889 eV per atom
! DOS(E_F): 11.4 states/eV/f.u.
&SYSTEM
  ibrav = 0, nat = 15, ntyp = 4
/
ATOMIC_SPECIES
Ba 137.33 Ba.upf
O 16.00 O.upf
Np 237.00 Np.upf
Li 6.94 Li.upf
ATOMIC_POSITIONS angstrom
Ba 0.201 -1.710 3.668
O -0.371 -2.684 1.101
O 2.459 1.482 0.556
Ba 0.000 0.000 0.000
O -1.908 -2.098 6.044
Np -1.576 1.470 3.053
O 0.379 1.096 2.799
O 0.646 -0.560 6.621
Ba 0.824 2.246 5.752
O 2.548 -0.152 4.520
O 2.933 2.635 3.377
Li -1.440 -0.179 6.846
O 2.089 -1.202 1.657
O -1.523 0.688 4.900
Li 2.465 0.715 2.574
CELL_PARAMETERS angstrom
-0.741 -5.368 2.202
4.919 2.964 1.112
-3.153 2.940 6.105